SrTlCd2H: relaxed, PBE-GGA.

Output
E_tot in eV/atom: -1.965
DOS(E_F) in states/eV/atom: 0.34
Volume in Å³ per cell: 118
Total moment in μB/atom: 0.00
Crystal system: tetragonal

Cell lengths 5.019, 5.019, 4.665 Å; angles 90.00, 90.00, 90.00 degrees
Positions (direct):
Cd: 0.500 0.000 0.000
Cd: 0.000 0.500 0.000
Tl: 0.500 0.500 0.500
H: 0.000 0.000 0.000
Sr: 0.000 0.000 0.500